This record from the Alexandria database describes a relaxed La3Y2Tl3 crystal. The functional is PBE.

Values from the calculation:
DFT formation energy = -0.293 eV/atom
total energy = -37.156 eV per cell
spin magnetization = 0.38 μB/cell
energy above the most stable polymorph in this dataset = 45 meV/atom

Unit cell a=4.5060 b=5.1944 c=11.2972 alpha=103.29 beta=101.50 gamma=90.00
Positions (direct):
Tl 0.8667 0.8667 0.7333
La 0.3806 0.3806 0.7613
La 0.5000 0.0000 0.0000
La 0.6194 0.6194 0.2387
Tl 0.0000 0.5000 0.0000
Y 0.7363 0.2363 0.4726
Tl 0.1333 0.1333 0.2667
Y 0.2637 0.7637 0.5274